No. 1
! meta-GGA SCAN LiScS3, PBEsol geometry; values from VASP
! **Density of states at the Fermi level**: 4.09 states/eV per cell
! **Formation energy from raw total energies**: -0.462 eV per atom
! **Space group**: Pm-3m, No. 221
! **M_tot**: 0.00 μB per atom
&SYSTEM
  ibrav = 0, nat = 5, ntyp = 3
/
ATOMIC_SPECIES
Li 6.94 Li.upf
Sc 44.96 Sc.upf
S 32.06 S.upf
CELL_PARAMETERS angstrom
4.350 0.000 0.000
0.000 4.350 0.000
0.000 0.000 4.350
ATOMIC_POSITIONS crystal
Li 0.000 0.000 0.000
Sc 0.500 0.500 0.500
S 0.000 0.000 0.500
S 0.000 0.500 0.000
S 0.500 0.000 0.000

***

No. 2
! meta-GGA SCAN ZnCrSe4, PBEsol geometry; values from VASP
! **Density of states at the Fermi level**: 2.70 states/eV per cell
! **Formation energy from raw total energies**: 0.632 eV per atom
! **Space group**: F-43m, No. 216
! **M_tot**: 0.66 μB per atom
&SYSTEM
  ibrav = 0, nat = 6, ntyp = 3
/
ATOMIC_SPECIES
Zn 65.41 Zn.upf
Cr 52.00 Cr.upf
Se 78.96 Se.upf
CELL_PARAMETERS angstrom
0.000 3.967 3.967
3.967 0.000 3.967
3.967 3.967 0.000
ATOMIC_POSITIONS crystal
Zn 0.000 0.000 0.000
Cr 0.250 0.250 0.250
Se 0.124 0.625 0.625
Se 0.625 0.124 0.625
Se 0.625 0.625 0.124
Se 0.625 0.625 0.625

***

What is the M_tot in the first record?
0.00 μB per atom

***

Number 1 is which compound?
LiScS3

***

Please write out number 1 again, unchanged.
! meta-GGA SCAN LiScS3, PBEsol geometry; values from VASP
! **Density of states at the Fermi level**: 4.09 states/eV per cell
! **Formation energy from raw total energies**: -0.462 eV per atom
! **Space group**: Pm-3m, No. 221
! **M_tot**: 0.00 μB per atom
&SYSTEM
  ibrav = 0, nat = 5, ntyp = 3
/
ATOMIC_SPECIES
Li 6.94 Li.upf
Sc 44.96 Sc.upf
S 32.06 S.upf
CELL_PARAMETERS angstrom
4.350 0.000 0.000
0.000 4.350 0.000
0.000 0.000 4.350
ATOMIC_POSITIONS crystal
Li 0.000 0.000 0.000
Sc 0.500 0.500 0.500
S 0.000 0.000 0.500
S 0.000 0.500 0.000
S 0.500 0.000 0.000